1.
20
Lattice="-3.0947 -3.9812 -4.4352 -3.2168 -4.6345 6.4047 -5.9153 6.0191 -1.2754" Properties=species:S:1:pos:R:3 comment="PBE Dy3TeS6, optimized geometry" space_group="Cmc2_1 (36)" pbc="T T T"
Dy -8.6472 -1.9220 2.7610
Dy -10.7454 -1.7380 -1.0242
Dy -6.0031 0.1280 0.1584
Dy -7.0597 -3.8001 -0.6624
Dy -5.0746 -2.5977 -4.2094
Dy -2.9764 -2.7818 -0.4241
Te -8.4647 0.4048 -4.2989
Te -5.1109 -4.7365 3.0600
S -6.5551 -0.1742 2.8421
S -8.2825 -1.4543 0.1123
S -7.3173 2.5582 0.7080
S -7.6168 -4.3587 2.0418
S -6.6415 4.9372 -2.2763
S -7.2111 1.0787 -2.2489
S -4.2160 -2.6464 4.0891
S -5.5468 -7.4842 3.0257
S -4.3418 2.1071 -0.9633
S -4.6414 -4.8098 0.3705
S -3.5464 -0.6304 1.1521
S -5.2737 -1.9105 -1.5776

2.
9
Lattice="3.9607 0.0000 0.0000 -1.9804 7.0026 0.0885 0.0000 -1.7241 8.9096" Properties=species:S:1:pos:R:3 comment="PBE Dy4Te3S2, optimized geometry" space_group="C2/m (12)" pbc="T T T"
Dy 1.9804 2.1498 0.9829
Dy 0.0000 -0.1206 6.0736
Dy 1.9804 5.3991 2.9245
Dy 0.0000 3.1287 8.0152
Te 0.0000 4.5309 5.3011
Te 0.0000 0.0000 0.0000
Te 1.9804 0.7476 3.6970
S 0.0000 3.8651 1.6966
S 1.9804 1.4135 7.3015

3.
10
Lattice="3.9494 0.0000 0.0000 0.0000 7.4690 0.5375 -1.9747 -0.9635 8.0889" Properties=species:S:1:pos:R:3 comment="PBE DyTeS3, optimized geometry" space_group="C2/m (12)" pbc="T T T"
Dy 1.9747 5.2026 4.9725
Dy 0.0000 1.3028 3.6540
Te 1.9747 4.9729 1.1599
Te 0.0000 1.5325 7.4666
S 1.9747 4.9783 7.9159
S 0.0000 1.5272 0.7106
S 0.0000 6.6587 6.0220
S 1.9747 -0.1532 2.6045
S 0.0000 4.1020 3.1551
S 1.9747 2.4034 5.4714

4.
16
Lattice="-1.9057 2.0790 -4.5243 -5.1905 -1.2662 4.7456 1.5199 11.9476 4.8501" Properties=species:S:1:pos:R:3 comment="PBE Dy2TeS5, optimized geometry" space_group="Cmcm (63)" pbc="T T T"
Dy -4.4704 6.0758 1.5338
Dy -5.0310 1.6687 -0.2552
Dy -1.1059 6.6846 3.5376
Dy -0.5453 11.0917 5.3267
Te -3.8894 9.8498 3.0234
Te -1.6869 2.9106 2.0481
S -5.1994 11.4599 4.3150
S -5.6233 8.1274 2.9622
S -3.1548 4.9194 3.5895
S -3.6821 0.7741 1.9067
S -3.3912 3.9224 0.0897
S -2.1851 8.8380 4.9817
S -2.4215 7.8411 1.4820
S -1.8941 11.9863 3.1648
S -0.3769 1.3006 0.7564
S 0.0470 4.6330 2.1092

| no. | energy (eV per atom) |
| --- | --- |
| 1 | -5.6173 |
| 2 | -5.6233 |
| 3 | -4.9170 |
| 4 | -5.3362 |